Record 1
# LiTaO3 PBE relaxed
data_LiTaO3
_symmetry_space_group_name_H-M 'P n m a'
_symmetry_Int_Tables_number 62
_cell_length_a 6.3369
_cell_length_b 8.8596
_cell_length_c 4.8640
_cell_angle_alpha 90.00
_cell_angle_beta 90.00
_cell_angle_gamma 90.00
loop_
_symmetry_equiv_pos_as_xyz
'x,y,z'
'-x,-y,-z'
'-x+1/2,-y,z+1/2'
'x+1/2,y,-z+1/2'
'x+1/2,-y+1/2,-z+1/2'
'-x+1/2,y+1/2,z+1/2'
'-x,y+1/2,-z'
'x,-y+1/2,z'
loop_
_atom_site_label
_atom_site_type_symbol
_atom_site_fract_x
_atom_site_fract_y
_atom_site_fract_z
Li1 Li 0.0000 0.0000 0.0000
Ta1 Ta 0.1832 0.2500 0.4734
O1 O 0.0433 0.7500 0.7990
O2 O 0.1836 0.0861 0.6953
# - size of the total moment (μB/cell) = 0.00
# - electronic total energy (eV for the cell shown) = -163.68



Record 2
# Pr2Sm2Sb3 PBE relaxed
data_Pr2Sm2Sb3
_symmetry_space_group_name_H-M 'I 21 3'
_symmetry_Int_Tables_number 199
_symmetry_space_group_name_Hall 'I 2b 2c 3'
_cell_length_a 9.4913
_cell_length_b 9.4913
_cell_length_c 9.4913
_cell_angle_alpha 90.00
_cell_angle_beta 90.00
_cell_angle_gamma 90.00
loop_
_atom_site_label
_atom_site_type_symbol
_atom_site_fract_x
_atom_site_fract_y
_atom_site_fract_z
Pr1 Pr 0.1777 0.1777 0.1777
Sm1 Sm 0.0693 0.4307 0.5693
Sb1 Sb 0.0000 0.2500 0.8705
# - size of the total moment (μB/cell) = 0.00
# - electronic total energy (eV for the cell shown) = -154.98



Record 3
# Ba2LaP PBE relaxed
data_Ba2LaP
_symmetry_space_group_name_H-M 'P 4/m m m'
_symmetry_Int_Tables_number 123
_symmetry_space_group_name_Hall '-P 4 2'
_cell_length_a 3.9441
_cell_length_b 3.9441
_cell_length_c 10.4597
_cell_angle_alpha 90.00
_cell_angle_beta 90.00
_cell_angle_gamma 90.00
loop_
_atom_site_label
_atom_site_type_symbol
_atom_site_fract_x
_atom_site_fract_y
_atom_site_fract_z
Ba1 Ba 0.0000 0.0000 0.1633
La1 La 0.5000 0.5000 0.5000
P1 P 0.5000 0.5000 0.0000
# - size of the total moment (μB/cell) = 0.00
# - ΔH_f (0 K) (eV/atom) = -0.331